No. 1
# Cd2SiMo

Crystalline Cd2SiMo at its relaxed geometry (PBE, Alexandria).

Output
energy relative to the elements, uncorrected: 412.6 meV/atom
raw total energy: -4.11 eV per atom
size of the total moment: 0.0 μB/cell

CIF file:
```
data_Cd2SiMo
_chemical_formula_sum 'Cd2 Si1 Mo1'
_space_group_name_H-M_alt 'P 4/m m m'
_space_group_IT_number 123
_space_group_name_Hall '-P 4 2'
_cell_length_a 3.8267
_cell_length_b 3.8267
_cell_length_c 4.8270
_cell_angle_alpha 90.00
_cell_angle_beta 90.00
_cell_angle_gamma 90.00
loop_
_atom_site_label
_atom_site_type_symbol
_atom_site_fract_x
_atom_site_fract_y
_atom_site_fract_z
Cd1 Cd 0.0000 0.5000 0.0000
Si1 Si 0.0000 0.0000 0.5000
Mo1 Mo 0.5000 0.5000 0.5000
```

=====

No. 2
# Mg2Cu3Pd7

Crystalline Mg2Cu3Pd7 at its relaxed geometry (PBE, Alexandria).

Output
E_form: -1.7 eV/f.u.
raw total energy: -4.46 eV per atom
size of the total moment: 0.0 μB/cell

CIF file:
```
data_Mg2Cu3Pd7
_chemical_formula_sum 'Mg4 Cu6 Pd14'
_space_group_name_H-M_alt 'C m m m'
_space_group_IT_number 65
_space_group_name_Hall '-C 2 2'
_cell_length_a 4.2436
_cell_length_b 22.9792
_cell_length_c 4.0417
_cell_angle_alpha 90.00
_cell_angle_beta 90.00
_cell_angle_gamma 90.00
loop_
_atom_site_label
_atom_site_type_symbol
_atom_site_fract_x
_atom_site_fract_y
_atom_site_fract_z
Mg1 Mg 0.0000 0.1527 0.0000
Cu1 Cu 0.0000 0.3511 0.5000
Cu2 Cu 0.0000 0.5000 0.5000
Pd1 Pd 0.0000 0.0000 0.0000
Pd2 Pd 0.0000 0.0773 0.5000
Pd3 Pd 0.0000 0.2838 0.0000
Pd4 Pd 0.0000 0.4212 0.0000
```

=====

No. 3
# RbSb2Rh

Crystalline RbSb2Rh at its relaxed geometry (PBE, Alexandria).

Output
energy relative to the elements, uncorrected: -391.1 meV/atom
raw total energy: -4.53 eV per atom
excess energy over the best structure of this formula in the dataset: 0.000 eV per atom
size of the total moment: 0.0 μB/cell

CIF file:
```
data_RbSb2Rh
_chemical_formula_sum 'Rb3 Sb6 Rh3'
_space_group_name_H-M_alt 'R -3 m'
_space_group_IT_number 166
_space_group_name_Hall '-R 3 2"'
_cell_length_a 4.3817
_cell_length_b 4.3817
_cell_length_c 21.7763
_cell_angle_alpha 90.00
_cell_angle_beta 90.00
_cell_angle_gamma 120.00
loop_
_atom_site_label
_atom_site_type_symbol
_atom_site_fract_x
_atom_site_fract_y
_atom_site_fract_z
Rb1 Rb 0.0000 0.0000 0.0000
Sb1 Sb 0.0000 0.0000 0.2112
Rh1 Rh 0.0000 0.0000 0.5000
```

=====

No. 4
# Sc2FeAu

Crystalline Sc2FeAu at its relaxed geometry (PBE, Alexandria).

Output
E_form: -0.6 eV/f.u.
raw total energy: -6.25 eV per atom
size of the total moment: 8.5 μB/cell

CIF file:
```
data_Sc2FeAu
_chemical_formula_sum 'Sc8 Fe4 Au4'
_space_group_name_H-M_alt 'F -4 3 m'
_space_group_IT_number 216
_space_group_name_Hall 'F -4 2 3'
_cell_length_a 6.5377
_cell_length_b 6.5377
_cell_length_c 6.5377
_cell_angle_alpha 90.00
_cell_angle_beta 90.00
_cell_angle_gamma 90.00
loop_
_atom_site_label
_atom_site_type_symbol
_atom_site_fract_x
_atom_site_fract_y
_atom_site_fract_z
Sc1 Sc 0.0000 0.0000 0.0000
Sc2 Sc 0.2500 0.2500 0.2500
Fe1 Fe 0.0000 0.0000 0.5000
Au1 Au 0.2500 0.2500 0.7500
```

=====

No. 5
# Tl5Hg6Au

Crystalline Tl5Hg6Au at its relaxed geometry (PBE, Alexandria).

Output
E_form: 0.0 eV/f.u.
raw total energy: -1.41 eV per atom
size of the total moment: 0.0 μB/cell

CIF file:
```
data_Tl5Hg6Au
_chemical_formula_sum 'Tl10 Hg12 Au2'
_space_group_name_H-M_alt 'C 1 2/m 1'
_space_group_IT_number 12
_space_group_name_Hall '-C 2y'
_cell_length_a 10.7429
_cell_length_b 10.1848
_cell_length_c 6.2016
_cell_angle_alpha 90.00
_cell_angle_beta 98.57
_cell_angle_gamma 90.00
loop_
_atom_site_label
_atom_site_type_symbol
_atom_site_fract_x
_atom_site_fract_y
_atom_site_fract_z
Tl1 Tl 0.0000 0.0000 0.0000
Tl2 Tl 0.0000 0.1830 0.5000
Tl3 Tl 0.0000 0.3388 0.0000
Hg1 Hg 0.2429 0.5000 0.2806
Hg2 Hg 0.2450 0.3412 0.7524
Au1 Au 0.0000 0.5000 0.5000
```

=====

No. 6
# Tb2SmOs

Crystalline Tb2SmOs at its relaxed geometry (PBE, Alexandria).

Output
E_form: -0.4 eV/f.u.
raw total energy: -6.40 eV per atom
excess energy over the best structure of this formula in the dataset: 0.112 eV per atom
size of the total moment: 0.0 μB/cell

CIF file:
```
data_Tb2SmOs
_chemical_formula_sum 'Tb2 Sm1 Os1'
_space_group_name_H-M_alt 'P 4/m m m'
_space_group_IT_number 123
_space_group_name_Hall '-P 4 2'
_cell_length_a 3.4220
_cell_length_b 3.4220
_cell_length_c 9.3487
_cell_angle_alpha 90.00
_cell_angle_beta 90.00
_cell_angle_gamma 90.00
loop_
_atom_site_label
_atom_site_type_symbol
_atom_site_fract_x
_atom_site_fract_y
_atom_site_fract_z
Tb1 Tb 0.0000 0.0000 0.1783
Sm1 Sm 0.5000 0.5000 0.5000
Os1 Os 0.5000 0.5000 0.0000
```

=====

No. 7
# PuGaCu

Crystalline PuGaCu at its relaxed geometry (PBE, Alexandria).

Output
E_form: -0.7 eV/f.u.
raw total energy: -7.40 eV per atom
size of the total moment: 22.1 μB/cell

CIF file:
```
data_PuGaCu
_chemical_formula_sum 'Pu4 Ga4 Cu4'
_space_group_name_H-M_alt 'I m m a'
_space_group_IT_number 74
_space_group_name_Hall '-I 2b 2'
_cell_length_a 5.3212
_cell_length_b 5.4781
_cell_length_c 7.4777
_cell_angle_alpha 90.00
_cell_angle_beta 90.00
_cell_angle_gamma 90.00
loop_
_atom_site_label
_atom_site_type_symbol
_atom_site_fract_x
_atom_site_fract_y
_atom_site_fract_z
Pu1 Pu 0.0000 0.2500 0.1273
Ga1 Ga 0.0000 0.0000 0.5000
Cu1 Cu 0.2500 0.2500 0.7500
```

=====

No. 8
# K3PrTc2O9

Crystalline K3PrTc2O9 at its relaxed geometry (PBE, Alexandria).

Output
energy relative to the elements, uncorrected: -1835.3 meV/atom
raw total energy: -6.73 eV per atom
size of the total moment: 0.0 μB/cell

CIF file:
```
data_K3PrTc2O9
_chemical_formula_sum 'K3 Pr1 Tc2 O9'
_space_group_name_H-M_alt 'P -3 m 1'
_space_group_IT_number 164
_space_group_name_Hall '-P 3 2"'
_cell_length_a 5.8248
_cell_length_b 5.8248
_cell_length_c 7.3495
_cell_angle_alpha 90.00
_cell_angle_beta 90.00
_cell_angle_gamma 120.00
loop_
_atom_site_label
_atom_site_type_symbol
_atom_site_fract_x
_atom_site_fract_y
_atom_site_fract_z
K1 K 0.0000 0.0000 0.0000
K2 K 0.3333 0.6667 0.6850
Pr1 Pr 0.0000 0.0000 0.5000
Tc1 Tc 0.3333 0.6667 0.1539
O1 O 0.0000 0.5000 0.0000
O2 O 0.1812 0.3625 0.3001
```

=====

No. 9
# PuGaSb

Crystalline PuGaSb at its relaxed geometry (PBE, Alexandria).

Output
energy relative to the elements, uncorrected: -302.4 meV/atom
raw total energy: -7.46 eV per atom
excess energy over the best structure of this formula in the dataset: 0.062 eV per atom
size of the total moment: 12.1 μB/cell

CIF file:
```
data_PuGaSb
_chemical_formula_sum 'Pu2 Ga2 Sb2'
_space_group_name_H-M_alt 'I 4 m m'
_space_group_IT_number 107
_space_group_name_Hall 'I 4 -2'
_cell_length_a 3.6706
_cell_length_b 3.6706
_cell_length_c 10.6337
_cell_angle_alpha 90.00
_cell_angle_beta 90.00
_cell_angle_gamma 90.00
loop_
_atom_site_label
_atom_site_type_symbol
_atom_site_fract_x
_atom_site_fract_y
_atom_site_fract_z
Pu1 Pu 0.0000 0.0000 0.0000
Ga1 Ga 0.0000 0.0000 0.6820
Sb1 Sb 0.0000 0.0000 0.3094
```

=====

No. 10
# Na3CaSb2Se6

Crystalline Na3CaSb2Se6 at its relaxed geometry (PBE, Alexandria).

Output
energy relative to the elements, uncorrected: -892.3 meV/atom
raw total energy: -3.82 eV per atom
size of the total moment: 0.0 μB/cell

CIF file:
```
data_Na3CaSb2Se6
_chemical_formula_sum 'Na6 Ca2 Sb4 Se12'
_space_group_name_H-M_alt 'C 1 2/m 1'
_space_group_IT_number 12
_space_group_name_Hall '-C 2y'
_cell_length_a 7.1598
_cell_length_b 12.4130
_cell_length_c 7.4821
_cell_angle_alpha 90.00
_cell_angle_beta 108.70
_cell_angle_gamma 90.00
loop_
_atom_site_label
_atom_site_type_symbol
_atom_site_fract_x
_atom_site_fract_y
_atom_site_fract_z
Na1 Na 0.0000 0.0000 0.0000
Na2 Na 0.0000 0.3309 0.0000
Ca1 Ca 0.0000 0.5000 0.5000
Sb1 Sb 0.0000 0.1669 0.5000
Se1 Se 0.2340 0.0000 0.7342
Se2 Se 0.2485 0.3277 0.7299
```

=====

No. 11
# K2U3Te2O14

Crystalline K2U3Te2O14 at its relaxed geometry (PBE, Alexandria).

Output
energy relative to the elements, uncorrected: -2407.8 meV/atom
raw total energy: -7.73 eV per atom
size of the total moment: 0.0 μB/cell

CIF file:
```
data_K2U3Te2O14
_chemical_formula_sum 'K2 U3 Te2 O14'
_space_group_name_H-M_alt 'P -1'
_space_group_IT_number 2
_space_group_name_Hall '-P 1'
_cell_length_a 7.0099
_cell_length_b 7.1165
_cell_length_c 8.1407
_cell_angle_alpha 106.41
_cell_angle_beta 102.14
_cell_angle_gamma 97.55
loop_
_atom_site_label
_atom_site_type_symbol
_atom_site_fract_x
_atom_site_fract_y
_atom_site_fract_z
K1 K 0.2030 0.3967 0.3441
U1 U 0.1021 0.1652 0.7405
U2 U 0.5000 0.0000 0.5000
Te1 Te 0.3368 0.6755 0.0085
O1 O 0.1063 0.9478 0.8207
O2 O 0.1125 0.3948 0.6711
O3 O 0.1333 0.7358 0.1253
O4 O 0.1797 0.0038 0.4761
O5 O 0.3163 0.4101 0.0239
O6 O 0.4635 0.1795 0.7750
O7 O 0.4696 0.7636 0.5547
```

=====

No. 12
# ReSbPO2

Crystalline ReSbPO2 at its relaxed geometry (PBE, Alexandria).

Output
energy relative to the elements, uncorrected: -530.0 meV/atom
raw total energy: -6.91 eV per atom
excess energy over the best structure of this formula in the dataset: 0.000 eV per atom
size of the total moment: 0.8 μB/cell

CIF file:
```
data_ReSbPO2
_chemical_formula_sum 'Re1 Sb1 P1 O2'
_space_group_name_H-M_alt 'P 4/m m m'
_space_group_IT_number 123
_space_group_name_Hall '-P 4 2'
_cell_length_a 3.8302
_cell_length_b 3.8302
_cell_length_c 5.4457
_cell_angle_alpha 90.00
_cell_angle_beta 90.00
_cell_angle_gamma 90.00
loop_
_atom_site_label
_atom_site_type_symbol
_atom_site_fract_x
_atom_site_fract_y
_atom_site_fract_z
Re1 Re 0.0000 0.0000 0.0000
Sb1 Sb 0.5000 0.5000 0.5000
P1 P 0.0000 0.0000 0.5000
O1 O 0.0000 0.5000 0.0000
```